(1)
{
  "formula": "MgHSe2",
  "functional": "PBE",
  "state": "relaxed",
  "cell": [[-2.942, 2.942, 4.319], [2.942, -2.942, 4.319], [2.942, 2.942, -4.319]],
  "species": ["Mg", "Mg", "H", "H", "Se", "Se", "Se", "Se"],
  "fractional_positions": [[0.000, 0.000, 0.000], [0.750, 0.250, 0.500], [0.250, 0.750, 0.500], [0.500, 0.500, 0.000], [0.201, 0.625, 0.076], [0.375, 0.451, 0.576], [0.549, 0.125, 0.924], [0.875, 0.799, 0.424]],
  "final_energy_ev_per_cell": -24.50
}

---

(2)
{
  "formula": "MgHSe2",
  "functional": "PBE",
  "state": "relaxed",
  "cell": [[2.084, 1.203, 5.996], [-2.084, 1.203, 5.996], [0.000, -2.407, 5.996]],
  "species": ["Mg", "H", "Se", "Se"],
  "fractional_positions": [[0.000, 0.000, 0.000], [0.500, 0.500, 0.500], [0.404, 0.404, 0.404], [0.596, 0.596, 0.596]],
  "final_energy_ev_per_cell": -13.37
}

---

(3)
{
  "formula": "MgHSe",
  "functional": "PBE",
  "state": "relaxed",
  "cell": [[4.363, 0.000, 0.000], [-2.177, 3.782, 0.000], [-0.292, -2.351, 8.737]],
  "species": ["Mg", "Mg", "H", "H", "Se", "Se"],
  "fractional_positions": [[0.000, 0.000, 0.000], [0.241, 0.513, 0.753], [0.032, 0.168, 0.375], [0.207, 0.339, 0.376], [0.357, 0.705, 0.062], [0.884, 0.808, 0.691]],
  "final_energy_ev_per_cell": -21.64
}